Here is a relaxed structure of TaVMoF2 from Alexandria via LeMat-Bulk. Energies are from GGA+U.

Results
symmetry	No. 123
uncorrected energy	-6.092	eV per atom
V	94.9	Å³/f.u.

```
5
Lattice="4.0726 0.0000 0.0000 0.0000 4.0726 0.0000 0.0000 0.0000 5.7189" Properties=species:S:1:pos:R:3 pbc="T T T"
Ta 0.0000 0.0000 0.0000
V 0.0000 0.0000 2.8594
Mo 2.0363 2.0363 2.8594
F 0.0000 2.0363 0.0000
F 2.0363 0.0000 0.0000
```